CaHfReNi2 | PBEsol | optimized geometry

Results
E_form ... 9.76 eV per formula unit
Space-group type ... P4/mmm (123)

```
CaHfReNi2
1.0
-3.826 -2.205 0.135
2.193 -3.759 0.760
-0.298 0.818 4.908
Ni Re Hf Ca
2 1 1 1
Direct
0.500 0.000 0.000
0.000 0.500 0.000
0.500 0.500 0.500
0.000 0.000 0.000
0.000 0.000 0.500
```

=====

Ca2HfTcNi | PBEsol | optimized geometry

Results
E_form ... 4.47 eV per formula unit
Space-group type ... P4/mmm (123)

```
Ca2HfTcNi
1.0
-4.202 0.140 -1.902
-0.588 -4.809 0.944
-1.954 1.102 4.397
Ca Ni Tc Hf
2 1 1 1
Direct
0.000 0.500 0.000
0.000 0.000 0.500
0.000 0.000 0.000
0.500 0.000 0.000
0.500 0.500 0.500
```